MnNiSe3, optimized geometry, DFT PBE-GGA; total magnetic moment = 2.9 μB/f.u.; energy above the most stable polymorph in this dataset = 0.000 eV per atom; V = 18.36 A^3/atom; ρ = 6.3 g cm⁻³; crystal system = trigonal
1.0
-5.8714 -0.1096 2.1860
-1.1030 1.0829 6.0724
-2.8063 5.6021 1.7241
Mn Ni Se
2 2 6
Direct
0.3403 0.3403 0.9792 Mn
0.6597 0.6597 0.0208 Mn
0.1570 0.1570 0.5290 Ni
0.8430 0.8430 0.4710 Ni
0.0671 0.4327 0.7461 Se
0.7542 0.0671 0.7461 Se
0.5673 0.2458 0.2539 Se
0.2458 0.9329 0.2539 Se
0.9329 0.5673 0.2539 Se
0.4327 0.7542 0.7461 Se



MnNi2Se, optimized geometry, DFT PBE-GGA; total energy = -24.049 eV per cell; total magnetic moment = 4.4 μB/f.u.; V = 13.05 A^3/atom; ρ = 8.0 g cm⁻³; crystal system = orthorhombic
1.0
-3.6076 2.9317 0.4395
-4.1013 -2.2310 -0.0709
3.9845 -0.2883 2.4174
Mn Ni Se
1 2 1
Direct
0.2500 0.7500 0.5000 Mn
0.9874 0.9874 0.0000 Ni
0.5126 0.5126 0.0000 Ni
0.7500 0.2500 0.5000 Se



MnNiSe2, optimized geometry, DFT PBE-GGA; total magnetic moment = 4.2 μB/f.u.; energy above the most stable polymorph in this dataset = 0.037 eV per atom; V = 21.13 A^3/atom; ρ = 5.3 g cm⁻³; crystal system = orthorhombic
1.0
-0.4654 2.4000 2.6318
-0.7892 -2.8740 2.4851
6.5126 -0.1639 -1.1538
Mn Ni Se
1 1 2
Direct
0.8749 0.5090 0.0000 Mn
0.3751 0.0088 0.0000 Ni
0.0069 0.1409 0.2636 Se
0.7431 0.8773 0.7364 Se



MnNiSnSe3, optimized geometry, DFT PBE-GGA; total energy = -62.733 eV per cell; total magnetic moment = 3.2 μB/f.u.; V = 21.08 A^3/atom; ρ = 6.2 g cm⁻³; crystal system = monoclinic
1.0
-2.8417 2.0834 1.2604
-4.3428 -6.0027 0.1306
3.9377 0.1991 8.5487
Mn Ni Sn Se
2 2 2 6
Direct
0.2500 0.6673 0.1439 Mn
0.7500 0.3327 0.8561 Mn
0.2500 0.0555 0.5983 Ni
0.7500 0.9445 0.4017 Ni
0.2500 0.1892 0.3173 Sn
0.7500 0.8108 0.6827 Sn
0.7500 0.9028 0.1392 Se
0.2500 0.0972 0.8608 Se
0.2500 0.7395 0.4259 Se
0.7500 0.2605 0.5741 Se
0.7500 0.4315 0.1361 Se
0.2500 0.5685 0.8639 Se



Ta2Mn2NiSe6, optimized geometry, DFT PBE-GGA; total energy = -73.466 eV per cell; total magnetic moment = 7.7 μB/f.u.; V = 19.31 A^3/atom; ρ = 7.9 g cm⁻³; crystal system = monoclinic
1.0
-3.4571 5.1762 1.0419
-3.0154 -5.4637 -0.9410
-0.1432 -1.1156 5.9542
Ta Mn Ni Se
2 2 1 6
Direct
0.3077 0.6923 0.5000 Ta
0.6923 0.3077 0.5000 Ta
0.6589 0.3411 0.0000 Mn
0.3411 0.6589 0.0000 Mn
0.0000 0.0000 0.5000 Ni
0.6698 0.6698 0.7169 Se
0.0108 0.3200 0.7635 Se
0.3302 0.3302 0.2831 Se
0.3200 0.0108 0.7635 Se
0.9892 0.6800 0.2365 Se
0.6800 0.9892 0.2365 Se



U2MnNiSe6, optimized geometry, DFT PBE-GGA; total energy = -66.436 eV per cell; total magnetic moment = 6.9 μB/f.u.; V = 21.28 A^3/atom; ρ = 8.3 g cm⁻³; crystal system = monoclinic
1.0
-2.6683 -2.0355 -5.3213
0.4995 -0.0091 -6.2713
5.0054 -7.6750 0.3192
U Mn Ni Se
2 1 1 6
Direct
0.7395 0.7395 0.7601 U
0.2605 0.2605 0.2399 U
0.5000 0.5000 0.5000 Mn
0.5000 0.5000 0.0000 Ni
0.1366 0.1366 0.9498 Se
0.8634 0.8634 0.0502 Se
0.1440 0.1440 0.5531 Se
0.8560 0.8560 0.4469 Se
0.4165 0.4165 0.7546 Se
0.5835 0.5835 0.2454 Se



MnSi2Ni3, optimized geometry, DFT PBE-GGA; total energy = -38.834 eV per cell; total magnetic moment = 4.9 μB/f.u.; V = 13.46 A^3/atom; ρ = 5.9 g cm⁻³; crystal system = hexagonal
1.0
-1.3549 0.4510 -3.4155
4.6667 0.0188 -1.8487
-2.5133 -4.3241 0.4261
Mn Si Ni
1 2 3
Direct
0.0000 0.0000 0.0000 Mn
0.5000 0.3333 0.6667 Si
0.5000 0.6667 0.3333 Si
0.0000 0.5000 0.0000 Ni
0.0000 0.5000 0.5000 Ni
0.0000 0.0000 0.5000 Ni



MnSiNi2, optimized geometry, DFT PBE-GGA; total energy = -27.150 eV per cell; total magnetic moment = 2.9 μB/f.u.; V = 11.33 A^3/atom; ρ = 7.3 g cm⁻³; crystal system = orthorhombic
1.0
-1.0666 2.3897 -0.1930
-3.0829 -1.3316 0.5502
0.6011 0.6717 4.9940
Mn Ni Si
1 2 1
Direct
0.5000 0.5000 0.7539 Mn
0.0000 0.0000 0.9996 Ni
0.5000 0.5000 0.2617 Ni
0.0000 0.0000 0.4848 Si



MnSiNi, optimized geometry, DFT PBE-GGA; total energy = -20.867 eV per cell; total magnetic moment = 2.6 μB/f.u.; V = 13.43 A^3/atom; ρ = 5.8 g cm⁻³; crystal system = cubic
1.0
3.8483 0.0000 0.0000
1.9241 3.3327 0.0000
1.9241 1.1109 3.1421
Mn Ni Si
1 1 1
Direct
0.0000 0.0000 0.0000 Mn
0.5000 0.5000 0.5000 Ni
0.7500 0.7500 0.7500 Si



MnSiNi2, optimized geometry, DFT PBE-GGA; total energy = -53.580 eV per cell; total magnetic moment = 3.4 μB/f.u.; V = 11.86 A^3/atom; ρ = 7.0 g cm⁻³; crystal system = orthorhombic
1.0
2.4471 0.0001 -0.7115
0.0001 4.5687 0.0000
1.0512 0.0000 8.1797
Mn Si Ni
2 2 4
Direct
0.1402 0.2500 0.7804 Mn
0.8598 0.7500 0.2196 Mn
0.6033 0.7500 0.7065 Si
0.3967 0.2500 0.2935 Si
0.0000 0.5000 0.5000 Ni
0.0000 0.0000 0.5000 Ni
0.2238 0.7500 0.9476 Ni
0.7762 0.2500 0.0524 Ni



MnSi3Ni12, optimized geometry, DFT PBE-GGA; total energy = -100.498 eV per cell; total magnetic moment = 4.8 μB/f.u.; V = 10.90 A^3/atom; ρ = 8.0 g cm⁻³; crystal system = tetragonal
1.0
-0.9446 -1.2254 -3.1719
2.5262 -2.4566 0.1967
-9.0281 -8.7966 6.0869
Mn Si Ni
1 3 12
Direct
0.0000 0.0000 0.0000 Mn
0.0000 0.0000 0.2504 Si
0.0000 0.0000 0.5000 Si
0.0000 0.0000 0.7496 Si
0.5000 0.5000 0.0000 Ni
0.5000 0.5000 0.2528 Ni
0.5000 0.5000 0.5000 Ni
0.5000 0.5000 0.7472 Ni
0.5000 0.0000 0.1290 Ni
0.5000 0.0000 0.3758 Ni
0.5000 0.0000 0.6242 Ni
0.5000 0.0000 0.8710 Ni
0.0000 0.5000 0.1290 Ni
0.0000 0.5000 0.3758 Ni
0.0000 0.5000 0.6242 Ni
0.0000 0.5000 0.8710 Ni



MnSiNi, optimized geometry, DFT PBE-GGA; total energy = -41.123 eV per cell; total magnetic moment = 3.4 μB/f.u.; V = 12.13 A^3/atom; ρ = 6.5 g cm⁻³; crystal system = hexagonal
1.0
-3.4281 1.6467 1.4371
0.3066 -4.0346 -0.3964
1.8270 -0.3261 4.7319
Mn Si Ni
2 2 2
Direct
0.3333 0.6667 0.7500 Mn
0.6667 0.3333 0.2500 Mn
0.0000 0.0000 0.0000 Si
0.0000 0.0000 0.5000 Si
0.3333 0.6667 0.2500 Ni
0.6667 0.3333 0.7500 Ni



MnSiNi2, optimized geometry, DFT PBE-GGA; total energy = -27.551 eV per cell; total magnetic moment = 3.2 μB/f.u.; V = 11.31 A^3/atom; ρ = 7.4 g cm⁻³; crystal system = tetragonal
1.0
-1.8341 -0.8326 -3.7981
-0.3234 -4.2745 -0.3270
-1.2308 2.6435 3.1591
Ni Si Mn
2 1 1
Direct
0.0000 0.0000 0.0000 Ni
0.2499 0.7499 0.5000 Ni
0.5000 0.5000 0.0000 Si
0.7501 0.2501 0.5000 Mn



MnSiNi2, optimized geometry, DFT PBE-GGA; total energy = -51.980 eV per cell; total magnetic moment = 3.2 μB/f.u.; V = 12.55 A^3/atom; ρ = 6.6 g cm⁻³; crystal system = tetragonal
1.0
3.4958 0.0000 0.0000
0.0000 3.4958 0.0000
1.7479 1.7479 8.2178
Ni Si Mn
4 2 2
Direct
0.6132 0.1250 0.2500 Ni
0.1368 0.6250 0.2500 Ni
0.3750 0.3868 0.7500 Ni
0.8750 0.8632 0.7500 Ni
0.5000 0.5000 0.0000 Si
0.2500 0.7500 0.5000 Si
0.0000 0.0000 0.0000 Mn
0.7500 0.2500 0.5000 Mn



MnSiNi2, optimized geometry, DFT PBE-GGA; total energy = -27.275 eV per cell; total magnetic moment = 3.0 μB/f.u.; V = 11.41 A^3/atom; ρ = 7.3 g cm⁻³; crystal system = monoclinic
1.0
4.7447 0.0254 0.5053
3.9187 2.6751 0.5053
1.4275 0.4450 3.7919
Mn Ni Si
1 2 1
Direct
0.2500 0.2500 0.2500 Mn
0.0208 0.0208 0.9785 Ni
0.4792 0.4792 0.5215 Ni
0.7500 0.7500 0.7500 Si



MnSiNi3, optimized geometry, DFT PBE-GGA; total magnetic moment = 4.4 μB/f.u.; energy above the most stable polymorph in this dataset = 0.000 eV per atom; V = 13.92 A^3/atom; ρ = 6.2 g cm⁻³; crystal system = orthorhombic
1.0
-0.6069 -4.0325 -1.6422
3.9538 -2.3829 4.3902
-3.8357 -0.6793 3.0858
Mn Si Ni
2 2 6
Direct
0.5000 0.0000 0.0000 Mn
0.5000 0.5000 0.5000 Mn
0.0000 0.5000 0.0000 Si
0.0000 0.0000 0.5000 Si
0.5000 0.5000 0.0000 Ni
0.5000 0.0000 0.5000 Ni
0.0000 0.6721 0.3820 Ni
0.0000 0.1721 0.1180 Ni
0.0000 0.3279 0.6180 Ni
0.0000 0.8279 0.8820 Ni



MnSiNi, optimized geometry, DFT PBE-GGA; total energy = -43.314 eV per cell; total magnetic moment = 2.5 μB/f.u.; V = 11.57 A^3/atom; ρ = 6.8 g cm⁻³; crystal system = hexagonal
1.0
-1.6061 1.2285 3.3950
1.3675 -3.6938 -0.3160
4.6115 1.5692 1.6137
Mn Ni Si
2 2 2
Direct
0.0000 0.0000 0.0000 Mn
0.0000 0.0000 0.5000 Mn
0.3333 0.6667 0.7500 Ni
0.6667 0.3333 0.2500 Ni
0.3333 0.6667 0.2500 Si
0.6667 0.3333 0.7500 Si



MnSiNi6, optimized geometry, DFT PBE-GGA; total magnetic moment = 4.8 μB/f.u.; energy above the most stable polymorph in this dataset = 0.000 eV per atom; V = 11.03 A^3/atom; ρ = 8.2 g cm⁻³; crystal system = orthorhombic
1.0
6.1245 -0.0044 0.0000
-2.0583 5.7682 0.0000
0.0000 0.0000 9.9952
Mn Ni Si
4 24 4
Direct
0.2544 0.7456 0.7500 Mn
0.7456 0.2544 0.7500 Mn
0.5000 0.5000 0.5011 Mn
0.5000 0.5000 0.9989 Mn
0.2492 0.7508 0.4959 Ni
0.8787 0.6299 0.6229 Ni
0.1213 0.3701 0.6229 Ni
0.7508 0.2492 0.4959 Ni
0.3701 0.1213 0.6229 Ni
0.6299 0.8787 0.6229 Ni
0.5000 0.5000 0.2500 Ni
0.1206 0.3715 0.3730 Ni
0.3715 0.1206 0.3730 Ni
0.2492 0.7508 0.0041 Ni
0.8794 0.6285 0.1270 Ni
0.1206 0.3715 0.1270 Ni
0.7508 0.2492 0.0041 Ni
0.3715 0.1206 0.1270 Ni
0.6285 0.8794 0.1270 Ni
0.5000 0.5000 0.7500 Ni
0.1213 0.3701 0.8771 Ni
0.3701 0.1213 0.8771 Ni
0.0000 0.0000 0.2500 Ni
0.6285 0.8794 0.3730 Ni
0.8794 0.6285 0.3730 Ni
0.0000 0.0000 0.7500 Ni
0.6299 0.8787 0.8771 Ni
0.8787 0.6299 0.8771 Ni
0.2557 0.7443 0.2500 Si
0.7443 0.2557 0.2500 Si
0.0000 0.0000 0.5013 Si
0.0000 0.0000 0.9987 Si



MnSiNi2, optimized geometry, DFT PBE-GGA; total energy = -27.352 eV per cell; total magnetic moment = 2.5 μB/f.u.; V = 11.15 A^3/atom; ρ = 7.5 g cm⁻³; crystal system = cubic
1.0
3.9812 0.0000 0.0000
1.9906 3.4478 0.0000
1.9906 1.1493 3.2506
Mn Ni Si
1 2 1
Direct
0.5000 0.5000 0.5000 Mn
0.0000 0.0000 0.0000 Ni
0.2500 0.2500 0.2500 Ni
0.7500 0.7500 0.7500 Si



MnSiNi, optimized geometry, DFT PBE-GGA; total energy = -84.630 eV per cell; total magnetic moment = 3.0 μB/f.u.; V = 11.76 A^3/atom; ρ = 6.7 g cm⁻³; crystal system = orthorhombic
1.0
4.2384 0.0000 0.0000
0.0000 4.5763 0.0000
0.0000 0.0000 7.2787
Ni Si Mn
4 4 4
Direct
0.2500 0.2234 0.3255 Ni
0.7500 0.2766 0.8255 Ni
0.7500 0.7766 0.6745 Ni
0.2500 0.7234 0.1745 Ni
0.2500 0.1671 0.9971 Si
0.7500 0.3329 0.4971 Si
0.7500 0.8329 0.0029 Si
0.2500 0.6671 0.5029 Si
0.2500 0.1372 0.6567 Mn
0.7500 0.3628 0.1567 Mn
0.7500 0.8628 0.3433 Mn
0.2500 0.6372 0.8433 Mn